[1]
A relaxed TlCrCdTe3 crystal. Source: Alexandria, functional PBE-GGA.

Unit cell a=8.517 b=4.249 c=10.690 alpha=90.00 beta=109.03 gamma=90.00
Space group P2_1/m (No. 11)
Inequivalent atoms, fractional coordinates:
Tl: 0.235 0.250 0.260 (multiplicity 2)
Cr: 0.325 0.750 0.859 (multiplicity 2)
Cd: 0.076 0.250 0.613 (multiplicity 2)
Te: 0.111 0.250 0.881 (multiplicity 2)
Te: 0.276 0.750 0.566 (multiplicity 2)
Te: 0.459 0.750 0.126 (multiplicity 2)

Computed properties:
Its uncorrected formation energy is -23.6 kJ/mol of atoms. The crystal system is monoclinic.

[2]
A relaxed RbMg6Cd crystal. Source: Alexandria, functional PBE-GGA.

Unit cell a=5.422 b=6.827 c=11.853 alpha=90.00 beta=90.00 gamma=90.00
Space group Amm2 (No. 38)
Inequivalent atoms, fractional coordinates:
Rb: 0.000 0.000 0.000 (multiplicity 2)
Mg: 0.000 0.245 0.251 (multiplicity 4)
Mg: 0.500 0.000 0.182 (multiplicity 2)
Mg: 0.500 0.000 0.666 (multiplicity 2)
Mg: 0.500 0.227 0.410 (multiplicity 4)
Cd: 0.000 0.000 0.490 (multiplicity 2)

Computed properties:
As for the excess energy over the best structure of this formula in the dataset: 0.009 eV/atom. The crystal system is orthorhombic. The formation energy is 0.187 eV/atom.

[3]
A relaxed LiAl3Cu6 crystal. Source: Alexandria, functional PBE-GGA.

Unit cell a=7.077 b=4.253 c=9.194 alpha=90.00 beta=111.63 gamma=90.00
Space group P2_1/m (No. 11)
Inequivalent atoms, fractional coordinates:
Li: 0.044 0.250 0.420 (multiplicity 2)
Al: 0.230 0.250 0.025 (multiplicity 2)
Al: 0.352 0.750 0.778 (multiplicity 2)
Al: 0.445 0.250 0.625 (multiplicity 2)
Cu: 0.061 0.750 0.877 (multiplicity 2)
Cu: 0.138 0.250 0.728 (multiplicity 2)
Cu: 0.164 0.750 0.182 (multiplicity 2)
Cu: 0.269 0.750 0.480 (multiplicity 2)
Cu: 0.335 0.250 0.325 (multiplicity 2)
Cu: 0.458 0.750 0.072 (multiplicity 2)

Computed properties:
The crystal system is monoclinic. The formation energy is -0.187 eV/atom.

[4]
A relaxed GeBrN2F crystal. Source: Alexandria, functional PBE-GGA.

Unit cell a=3.937 b=3.937 c=3.864 alpha=90.00 beta=90.00 gamma=90.00
Space group P4/mmm (No. 123)
Inequivalent atoms, fractional coordinates:
Ge: 0.000 0.000 0.000 (multiplicity 1)
Br: 0.500 0.500 0.500 (multiplicity 1)
N: 0.000 0.500 0.000 (multiplicity 2)
F: 0.000 0.000 0.500 (multiplicity 1)

Computed properties:
Its uncorrected formation energy is 73.1 kJ/mol of atoms. As for the excess energy over the best structure of this formula in the dataset: 0.000 eV/atom. The crystal system is tetragonal.

[5]
A relaxed PmBi2Rh crystal. Source: Alexandria, functional PBE-GGA.

Unit cell a=3.5680 b=3.5680 c=30.7709 alpha=90.00 beta=90.00 gamma=120.00
Space group R-3m (No. 166, hexagonal axes)
Inequivalent atoms, fractional coordinates:
Pm: 0.0000 0.0000 0.0000 (multiplicity 3)
Bi: 0.0000 0.0000 0.1052 (multiplicity 6)
Rh: 0.0000 0.0000 0.5000 (multiplicity 3)

Computed properties:
As for the excess energy over the best structure of this formula in the dataset: 0.515 eV/atom. The crystal system is trigonal. The formation energy is -0.051 eV/atom.

[6]
A relaxed LaAlCd2 crystal. Source: Alexandria, functional PBE-GGA.

Unit cell a=3.578 b=3.578 c=7.701 alpha=90.00 beta=90.00 gamma=90.00
Space group P4mm (No. 99)
Inequivalent atoms, fractional coordinates:
La: 0.000 0.000 0.000 (multiplicity 1)
Al: 0.500 0.500 0.276 (multiplicity 1)
Cd: 0.000 0.000 0.472 (multiplicity 1)
Cd: 0.500 0.500 0.699 (multiplicity 1)

Computed properties:
The crystal system is tetragonal. The formation energy is -0.167 eV/atom.

[7]
A relaxed Y5Te5P crystal. Source: Alexandria, functional PBE-GGA.

Unit cell a=13.556 b=6.093 c=8.554 alpha=90.00 beta=108.90 gamma=90.00
Space group C2/m (No. 12)
Inequivalent atoms, fractional coordinates:
Y: 0.000 0.000 0.000 (multiplicity 2)
Y: 0.153 0.500 0.311 (multiplicity 4)
Y: 0.155 0.500 0.846 (multiplicity 4)
Te: 0.000 0.500 0.500 (multiplicity 2)
Te: 0.162 0.000 0.821 (multiplicity 4)
Te: 0.172 0.000 0.337 (multiplicity 4)
P: 0.000 0.500 0.000 (multiplicity 2)

Computed properties:
Its uncorrected formation energy is -140.8 kJ/mol of atoms. The crystal system is monoclinic.

[8]
A relaxed Ca2ReW crystal. Source: Alexandria, functional PBE-GGA.

Unit cell a=8.230 b=3.276 c=7.807 alpha=90.00 beta=95.02 gamma=90.00
Space group Cm (No. 8)
Inequivalent atoms, fractional coordinates:
Ca: 0.000 0.000 0.000 (multiplicity 2)
Ca: 0.217 0.000 0.606 (multiplicity 2)
Re: 0.470 0.000 0.360 (multiplicity 2)
W: 0.254 0.500 0.251 (multiplicity 2)

Computed properties:
As for the excess energy over the best structure of this formula in the dataset: 0.183 eV/atom. The crystal system is monoclinic. The formation energy is 0.557 eV/atom.

[9]
A relaxed Pr8H3C3N crystal. Source: Alexandria, functional PBE-GGA.

Unit cell a=7.4805 b=7.4805 c=18.8647 alpha=90.00 beta=90.00 gamma=120.00
Space group R-3m (No. 166, hexagonal axes)
Inequivalent atoms, fractional coordinates:
Pr: 0.0000 0.0000 0.2443 (multiplicity 6)
Pr: 0.0004 0.5002 0.2413 (multiplicity 18)
H: 0.0000 0.5000 0.0000 (multiplicity 9)
C: 0.0000 0.5000 0.5000 (multiplicity 9)
N: 0.0000 0.0000 0.5000 (multiplicity 3)

Computed properties:
The crystal system is trigonal. The total energy comes out at -270.55 eV/cell.

[10]
A relaxed AlSb2Rh crystal. Source: Alexandria, functional PBE-GGA.

Unit cell a=6.826 b=3.933 c=6.914 alpha=90.00 beta=109.08 gamma=90.00
Space group C2/m (No. 12)
Inequivalent atoms, fractional coordinates:
Al: 0.000 0.000 0.000 (multiplicity 2)
Sb: 0.240 0.000 0.721 (multiplicity 4)
Rh: 0.000 0.500 0.500 (multiplicity 2)

Computed properties:
Its uncorrected formation energy is -10.9 kJ/mol of atoms. The crystal system is monoclinic.

[11]
A relaxed KAl2GaAs crystal. Source: Alexandria, functional PBE-GGA.

Unit cell a=5.721 b=5.721 c=5.633 alpha=90.00 beta=90.00 gamma=90.00
Space group P4/mmm (No. 123)
Inequivalent atoms, fractional coordinates:
K: 0.000 0.000 0.000 (multiplicity 1)
Al: 0.000 0.500 0.000 (multiplicity 2)
Ga: 0.500 0.500 0.500 (multiplicity 1)
As: 0.000 0.000 0.500 (multiplicity 1)

Computed properties:
The crystal system is tetragonal. The formation energy is 1.336 eV/atom.

[12]
A relaxed YAuI4 crystal. Source: Alexandria, functional PBE-GGA.

Unit cell a=8.218 b=4.374 c=16.691 alpha=90.00 beta=117.33 gamma=90.00
Space group P2_1/c (No. 14)
Inequivalent atoms, fractional coordinates:
Y: 0.000 0.000 0.000 (multiplicity 2)
Au: 0.500 0.000 0.500 (multiplicity 2)
I: 0.010 0.005 0.631 (multiplicity 4)
I: 0.421 0.600 0.598 (multiplicity 4)

Computed properties:
Its uncorrected formation energy is -84.6 kJ/mol of atoms. The crystal system is monoclinic.

[13]
A relaxed VPdCl2 crystal. Source: Alexandria, functional PBE-GGA.

Unit cell a=5.799 b=5.799 c=10.669 alpha=90.00 beta=90.00 gamma=90.00
Space group I-42d (No. 122)
Inequivalent atoms, fractional coordinates:
V: 0.000 0.000 0.000 (multiplicity 4)
Pd: 0.000 0.000 0.500 (multiplicity 4)
Cl: 0.225 0.250 0.125 (multiplicity 8)

Computed properties:
Its uncorrected formation energy is -12.4 kJ/mol of atoms. As for the excess energy over the best structure of this formula in the dataset: 0.234 eV/atom. The crystal system is tetragonal.